Entry from the Alexandria database: NaScTa2H at its PBEsol-relaxed geometry (meta-GGA SCAN).

```
NaScTa2H
1.0
-3.7389 -1.1347 -1.0186
1.1903 -0.4861 -3.8278
1.1601 -4.6799 0.9550
Ta Na H Sc
2 1 1 1
Direct
0.0000 0.5000 0.0000
0.5000 0.0000 0.0000
0.5000 0.5000 0.5000
0.0000 0.0000 0.0000
0.0000 0.0000 0.5000
```

Energy = -30.577 eV/atom
ρ = 8.927 g/cm³